First-principles (PBE+U) data for a geometry-optimized BeFeF2 structure, as listed in Alexandria via LeMat-Bulk.

E = -4.52 eV/atom

abc: 2.9418 2.9418 24.7674
angles: 90.00 90.00 120.00
With the nearest neighbours (Å) after each atom.
Fractional coordinates of all 12 atoms:
Be 0.0000 0.0000 0.0000  2 F 1.40
Be 0.3333 0.6667 0.6667  2 F 1.40
Be 0.6667 0.3333 0.3333  2 F 1.40
Fe 0.0000 0.0000 0.5000  6 Fe 2.94, 6 F 3.22
Fe 0.3333 0.6667 0.1667  6 Fe 2.94, 6 F 3.22
Fe 0.6667 0.3333 0.8333  6 Fe 2.94, 6 F 3.22
F 0.0000 0.0000 0.0563  1 Be 1.40
F 0.0000 0.0000 0.9437  1 Be 1.40
F 0.3333 0.6667 0.6103  1 Be 1.40
F 0.3333 0.6667 0.7230  1 Be 1.40
F 0.6667 0.3333 0.2770  1 Be 1.40
F 0.6667 0.3333 0.3897  1 Be 1.40